(1)
# VAgMo2Pd | Alexandria | PBE | relaxed
data_VAgMo2Pd
_space_group_name_H-M_alt 'P 1'
_space_group_IT_number 1
_space_group_name_Hall 'P 1'
_cell_length_a 4.803
_cell_length_b 4.803
_cell_length_c 4.570
_cell_angle_alpha 90.00
_cell_angle_beta 90.00
_cell_angle_gamma 90.00
loop_
_atom_site_label
_atom_site_type_symbol
_atom_site_fract_x
_atom_site_fract_y
_atom_site_fract_z
V1 V 0.000 0.000 0.000
Ag1 Ag 0.000 0.000 0.500
Mo1 Mo 0.000 0.500 0.500
Mo2 Mo 0.500 0.000 0.500
Pd1 Pd 0.500 0.500 0.000
# DOS at the Fermi energy   8.74 states/eV per cell
# E_form   11.39 eV/f.u.
# Spin magnetization   2.24 Bohr magnetons per cell

---

(2)
# Th5SbTe4 | Alexandria | PBE | relaxed
data_Th5SbTe4
_space_group_name_H-M_alt 'P 1'
_space_group_IT_number 1
_space_group_name_Hall 'P 1'
_cell_length_a 3.854
_cell_length_b 3.854
_cell_length_c 19.289
_cell_angle_alpha 90.00
_cell_angle_beta 90.00
_cell_angle_gamma 90.00
loop_
_atom_site_label
_atom_site_type_symbol
_atom_site_fract_x
_atom_site_fract_y
_atom_site_fract_z
Th1 Th 0.000 0.000 0.000
Th2 Th 0.000 0.000 0.200
Th3 Th 0.000 0.000 0.403
Th4 Th 0.000 0.000 0.597
Th5 Th 0.000 0.000 0.800
Sb1 Sb 0.500 0.500 0.500
Te1 Te 0.500 0.500 0.100
Te2 Te 0.500 0.500 0.299
Te3 Te 0.500 0.500 0.701
Te4 Te 0.500 0.500 0.900
# DOS at the Fermi energy   6.43 states/eV per cell
# Formation energy without anion corrections   -10.51 eV per formula unit
# Spin magnetization   0.00 Bohr magnetons per cell

---

| no. | ρ (g/cm3) | raw total energy (eV/atom) |
| --- | --- | --- |
| 1 | 7.20 | -5.49 |
| 2 | 10.39 | -6.43 |